Arrangement 1

VASP calculation (GGA-PBE) on crystalline AcNpSb2 at its relaxed geometry.

Computed properties:
- Symmetry: P4/mmm
- Size of the total moment: 4.04 Bohr magnetons per cell

Cell: 3.902 3.902 7.872 Å, 90.00 90.00 90.00°
Fractional coordinates of all 4 atoms:
Ac (0.000, 0.000, 0.000)
Np (0.000, 0.000, 0.500)
Sb (0.500, 0.500, 0.273)
Sb (0.500, 0.500, 0.727)

***

Arrangement 2

VASP calculation (GGA-PBE) on crystalline AcNpSb2 at its relaxed geometry.

Computed properties:
- Symmetry: Fm-3m
- Size of the total moment: 4.15 Bohr magnetons per cell

Cell: 5.570 5.570 5.570 Å, 60.00 60.00 60.00°
Fractional coordinates of all 4 atoms:
Ac (0.000, 0.000, 0.000)
Np (0.500, 0.500, 0.500)
Sb (0.250, 0.250, 0.250)
Sb (0.750, 0.750, 0.750)

***

Arrangement 3

VASP calculation (GGA-PBE) on crystalline AcNpSb2 at its relaxed geometry.

Computed properties:
- Symmetry: R-3m
- Size of the total moment: 3.94 Bohr magnetons per cell

Cell: 7.916 7.916 7.916 Å, 33.97 33.97 33.97°
Fractional coordinates of all 4 atoms:
Ac (0.000, 0.000, 0.000)
Np (0.500, 0.500, 0.500)
Sb (0.241, 0.241, 0.241)
Sb (0.759, 0.759, 0.759)

***

Which of them is the most stable, and which is the least stable? arrangement 3 and arrangement 2, in that order.

***

Arrangement 1

VASP calculation (GGA-PBE) on crystalline Ac2NpSb at its relaxed geometry.

Computed properties:
- Symmetry: R-3m
- Size of the total moment: 5.14 Bohr magnetons per cell

Cell: 12.691 12.691 12.691 Å, 16.53 16.53 16.53°
Fractional coordinates of all 4 atoms:
Ac (0.093, 0.093, 0.093)
Ac (0.907, 0.907, 0.907)
Np (0.000, 0.000, 0.000)
Sb (0.500, 0.500, 0.500)

***

Arrangement 2

VASP calculation (GGA-PBE) on crystalline Ac2NpSb at its relaxed geometry.

Computed properties:
- Symmetry: P4/mmm
- Size of the total moment: 5.61 Bohr magnetons per cell

Cell: 5.267 5.267 4.768 Å, 90.00 90.00 90.00°
Fractional coordinates of all 4 atoms:
Ac (0.000, 0.500, 0.000)
Ac (0.500, 0.000, 0.000)
Np (0.000, 0.000, 0.500)
Sb (0.500, 0.500, 0.500)

***

Which of them is the most stable, and which is the least stable? arrangement 2 and arrangement 1, in that order.